Arrangement one

The following is a DFT calculation (GGA-PBE) of an optimized crystal structure of MnBi2H.

Summary:
Space-group type: No. 225

Lattice parameters (Å, degrees): 4.6797 4.6797 4.6797 60.00 60.00 60.00
Fractional coordinates of all 4 atoms:
Mn  0.0000  0.0000  0.0000
Bi  0.2500  0.2500  0.2500
Bi  0.7500  0.7500  0.7500
H  0.5000  0.5000  0.5000

***

Arrangement two

The following is a DFT calculation (GGA-PBE) of an optimized crystal structure of MnBi2H.

Summary:
Space-group type: No. 122

Lattice parameters (Å, degrees): 5.8638 5.8638 5.8638 112.49 112.49 103.60
Fractional coordinates of all 8 atoms:
Mn  0.0000  0.0000  0.0000
Mn  0.7500  0.2500  0.5000
Bi  0.1740  0.6250  0.0490
Bi  0.3750  0.4240  0.5490
Bi  0.5760  0.1250  0.9510
Bi  0.8750  0.8260  0.4510
H  0.2500  0.7500  0.5000
H  0.5000  0.5000  0.0000

***

Most stable one: arrangement two, least stable one: arrangement one.